[1]
Compound: TbNdErTh
Source: the Alexandria database
Functional: PBE
Structure: relaxed

Cell and atoms, written as CIF:
```
data_TbNdErTh
_cell_length_a 3.5983
_cell_length_b 3.5983
_cell_length_c 34.7051
_cell_angle_alpha 90.00
_cell_angle_beta 90.00
_cell_angle_gamma 120.00
_space_group_name_H-M_alt 'R 3 m'
_space_group_IT_number 160
_space_group_name_Hall 'R 3 -2"'
loop_
_atom_site_label
_atom_site_type_symbol
_atom_site_fract_x
_atom_site_fract_y
_atom_site_fract_z
Tb1 Tb 0.0000 0.0000 0.0000
Nd1 Nd 0.0000 0.0000 0.2470
Er1 Er 0.0000 0.0000 0.8281
Th1 Th 0.0000 0.0000 0.4142
```

Calculated values
* relative energy among the computed polymorphs: 0.00 kcal/mol of atoms
* energy relative to the elements: 0.01 eV/atom
* DFT total energy: -21.3 eV per formula unit



[2]
Compound: ThCuRu
Source: the Alexandria database
Functional: PBE
Structure: relaxed

Cell and atoms, written as CIF:
```
data_ThCuRu
_cell_length_a 5.0932
_cell_length_b 4.5000
_cell_length_c 5.2987
_cell_angle_alpha 90.00
_cell_angle_beta 99.23
_cell_angle_gamma 90.00
_space_group_name_H-M_alt 'P 1 21/m 1'
_space_group_IT_number 11
_space_group_name_Hall '-P 2yb'
loop_
_atom_site_label
_atom_site_type_symbol
_atom_site_fract_x
_atom_site_fract_y
_atom_site_fract_z
Th1 Th 0.2180 0.2500 0.3735
Cu1 Cu 0.3705 0.7500 0.9967
Ru1 Ru 0.1078 0.2500 0.8447
```

Calculated values
* relative energy among the computed polymorphs: 2.09 kcal/mol of atoms
* energy relative to the elements: -0.22 eV/atom
* DFT total energy: -21.5 eV per formula unit



[3]
Compound: MgMn2P2
Source: the Alexandria database
Functional: PBE
Structure: relaxed

Cell and atoms, written as CIF:
```
data_MgMn2P2
_cell_length_a 6.6623
_cell_length_b 6.6623
_cell_length_c 2.7579
_cell_angle_alpha 90.00
_cell_angle_beta 90.00
_cell_angle_gamma 90.00
_space_group_name_H-M_alt 'P 4/m b m'
_space_group_IT_number 127
_space_group_name_Hall '-P 4 2ab'
loop_
_atom_site_label
_atom_site_type_symbol
_atom_site_fract_x
_atom_site_fract_y
_atom_site_fract_z
Mg1 Mg 0.0000 0.0000 0.0000
Mn1 Mn 0.1448 0.3552 0.5000
P1 P 0.1438 0.6438 0.0000
```

Calculated values
* energy relative to the elements: -0.25 eV/atom
* DFT total energy: -32.0 eV per formula unit



Which of these has the highest energy relative to the elements?
TbNdErTh



Look up the energy relative to the elements of the first one.
0.01 eV/atom



Which formula does entry 3 have?
MgMn2P2